Record 1
## KV2BiH (PBE)

Data for a relaxed structure of KV2BiH. Values from VASP.

The structure in Quantum ESPRESSO input format:
```
&SYSTEM
  ibrav = 0, nat = 5, ntyp = 4
/
ATOMIC_SPECIES
K 39.10 K.upf
V 50.94 V.upf
Bi 208.98 Bi.upf
H 1.01 H.upf
CELL_PARAMETERS angstrom
5.308 0.000 0.000
0.000 5.308 0.000
0.000 0.000 7.024
ATOMIC_POSITIONS angstrom
K 0.000 0.000 0.000
V 0.000 2.654 3.512
V 2.654 0.000 3.512
Bi 0.000 0.000 3.512
H 2.654 2.654 0.000
```

## Properties
total DFT energy (no corrections): -20.20 eV per formula unit
total magnetization: 1.40 μB per atom



Record 2
## LaCdSeN2 (PBE)

Data for a relaxed structure of LaCdSeN2. Values from VASP.

The structure in Quantum ESPRESSO input format:
```
&SYSTEM
  ibrav = 0, nat = 5, ntyp = 4
/
ATOMIC_SPECIES
La 138.91 La.upf
Cd 112.41 Cd.upf
Se 78.96 Se.upf
N 14.01 N.upf
CELL_PARAMETERS angstrom
4.219 0.000 0.000
0.000 4.219 0.000
0.000 0.000 6.503
ATOMIC_POSITIONS angstrom
La 0.000 0.000 0.000
Cd 2.109 2.109 3.251
Se 0.000 0.000 3.251
N 0.000 2.109 0.000
N 2.109 0.000 0.000
```

## Properties
total DFT energy (no corrections): -23.24 eV per formula unit
total magnetization: 0.06 μB per atom
excess energy over the best structure of this formula in the dataset: 1.6 kJ per mole of atoms
energy relative to the elements, uncorrected: 2.7 eV per formula unit



Record 3
## Pr6Y8Sc (PBE)

Data for a relaxed structure of Pr6Y8Sc. Values from VASP.

The structure in Quantum ESPRESSO input format:
```
&SYSTEM
  ibrav = 0, nat = 15, ntyp = 3
/
ATOMIC_SPECIES
Pr 140.91 Pr.upf
Y 88.91 Y.upf
Sc 44.96 Sc.upf
CELL_PARAMETERS angstrom
4.572 2.640 7.004
-4.572 2.640 7.004
0.000 -5.280 7.004
ATOMIC_POSITIONS angstrom
Pr -2.549 -2.153 9.592
Pr -3.139 1.130 11.420
Pr 0.591 -3.284 11.420
Pr -0.591 3.284 9.592
Pr 3.139 -1.130 9.592
Pr 2.549 2.153 11.420
Y 0.000 0.000 1.627
Y -1.816 0.831 7.579
Y 0.188 -1.989 7.579
Y -1.628 -1.157 13.433
Y 1.628 1.157 7.579
Y -0.188 1.989 13.433
Y 1.816 -0.831 13.433
Y 0.000 0.000 19.385
Sc 0.000 0.000 10.506
```

## Properties
formation energy: 160 kJ/mol of formula units
total DFT energy (no corrections): -85.07 eV per formula unit
total magnetization: 0.00 μB per atom
excess energy over the best structure of this formula in the dataset: 0.0 kJ per mole of atoms



Record 4
## La6Tb2PmHo (PBE)

Data for a relaxed structure of La6Tb2PmHo. Values from VASP.

The structure in Quantum ESPRESSO input format:
```
&SYSTEM
  ibrav = 0, nat = 10, ntyp = 4
/
ATOMIC_SPECIES
La 138.91 La.upf
Tb 158.93 Tb.upf
Pm 145.00 Pm.upf
Ho 164.93 Ho.upf
CELL_PARAMETERS angstrom
5.739 -3.494 0.000
5.739 3.494 0.000
-2.690 0.000 8.873
ATOMIC_POSITIONS angstrom
La 2.984 1.592 1.703
La 0.361 0.000 3.768
La 5.805 1.592 7.169
La 2.984 -1.592 1.703
La 8.428 0.000 5.104
La 5.805 -1.592 7.169
Tb 2.668 0.000 7.355
Tb 6.121 0.000 1.518
Pm 4.394 0.000 4.436
Ho 0.000 0.000 0.000
```

## Properties
formation energy: 185 kJ/mol of formula units
total DFT energy (no corrections): -46.24 eV per formula unit
total magnetization: 0.00 μB per atom



Record 5
## CsMnNb3 (PBE)

Data for a relaxed structure of CsMnNb3. Values from VASP.

The structure in Quantum ESPRESSO input format:
```
&SYSTEM
  ibrav = 0, nat = 5, ntyp = 3
/
ATOMIC_SPECIES
Cs 132.91 Cs.upf
Mn 54.94 Mn.upf
Nb 92.91 Nb.upf
CELL_PARAMETERS angstrom
5.019 0.000 0.000
0.000 5.019 0.000
0.000 0.000 5.019
ATOMIC_POSITIONS angstrom
Cs 0.000 0.000 0.000
Mn 2.509 2.509 2.509
Nb 0.000 0.000 2.509
Nb 0.000 2.509 0.000
Nb 2.509 0.000 0.000
```

## Properties
formation energy: 1321 kJ/mol of formula units
total DFT energy (no corrections): -26.54 eV per formula unit
total magnetization: 0.96 μB per atom
excess energy over the best structure of this formula in the dataset: 133.9 kJ per mole of atoms



Record 6
## Hf2GaHg (PBE)

Data for a relaxed structure of Hf2GaHg. Values from VASP.

The structure in Quantum ESPRESSO input format:
```
&SYSTEM
  ibrav = 0, nat = 4, ntyp = 3
/
ATOMIC_SPECIES
Hf 178.49 Hf.upf
Ga 69.72 Ga.upf
Hg 200.59 Hg.upf
CELL_PARAMETERS angstrom
3.084 0.000 0.000
0.000 3.084 0.000
0.000 0.000 8.265
ATOMIC_POSITIONS angstrom
Hf 0.000 0.000 1.923
Hf 0.000 0.000 6.342
Ga 1.542 1.542 0.000
Hg 1.542 1.542 4.132
```

## Properties
formation energy: -89 kJ/mol of formula units
total DFT energy (no corrections): -24.16 eV per formula unit
total magnetization: 0.00 μB per atom
excess energy over the best structure of this formula in the dataset: 0.0 kJ per mole of atoms



Record 7
## PaAuCl6 (PBE)

Data for a relaxed structure of PaAuCl6. Values from VASP.

The structure in Quantum ESPRESSO input format:
```
&SYSTEM
  ibrav = 0, nat = 8, ntyp = 3
/
ATOMIC_SPECIES
Pa 231.04 Pa.upf
Au 196.97 Au.upf
Cl 35.45 Cl.upf
CELL_PARAMETERS angstrom
4.150 -7.397 0.000
4.150 7.397 0.000
-3.978 0.000 6.024
ATOMIC_POSITIONS angstrom
Pa 0.000 0.000 0.000
Au 2.161 0.000 3.012
Cl -2.196 1.777 5.986
Cl -0.132 0.000 2.716
Cl -2.196 -1.777 5.986
Cl 6.517 1.777 0.038
Cl 4.453 0.000 3.308
Cl 6.517 -1.777 0.038
```

## Properties
total DFT energy (no corrections): -35.20 eV per formula unit
total magnetization: 0.00 μB per atom
excess energy over the best structure of this formula in the dataset: 0.4 kJ per mole of atoms
energy relative to the elements, uncorrected: -11.3 eV per formula unit



Record 8
## Dy7YHo2 (PBE)

Data for a relaxed structure of Dy7YHo2. Values from VASP.

The structure in Quantum ESPRESSO input format:
```
&SYSTEM
  ibrav = 0, nat = 10, ntyp = 3
/
ATOMIC_SPECIES
Dy 162.50 Dy.upf
Y 88.91 Y.upf
Ho 164.93 Ho.upf
CELL_PARAMETERS angstrom
6.133 0.000 0.000
-1.022 6.055 0.000
-3.051 -2.583 8.461
ATOMIC_POSITIONS angstrom
Dy 0.000 0.000 0.000
Dy -2.032 0.704 7.621
Dy -1.010 5.023 3.380
Dy 1.030 2.253 2.534
Dy 1.029 1.219 5.927
Dy 3.070 -1.551 5.081
Dy 4.091 2.768 0.840
Y -2.037 1.736 4.231
Ho 0.011 -2.061 6.772
Ho 2.049 5.533 1.689
```

## Properties
formation energy: 19 kJ/mol of formula units
total DFT energy (no corrections): -47.63 eV per formula unit
total magnetization: 0.00 μB per atom
excess energy over the best structure of this formula in the dataset: 0.0 kJ per mole of atoms